No. 1
Computed, not measured: an optimized crystal structure of PmYBr3 at the PBE-GGA level of DFT.

abc: 8.918 8.918 11.203
angles: 120.88 120.88 25.50
Fractional positions:
Y1 0.424 0.424 0.545
Y2 0.576 0.576 0.455
Br1 0.780 0.780 0.384
Br2 0.220 0.220 0.616
Br3 0.042 0.042 0.243
Br4 0.340 0.340 0.990
Br5 0.958 0.958 0.757
Br6 0.660 0.660 0.010
Pm1 0.862 0.862 0.213
Pm2 0.138 0.138 0.787

Properties
SG: C2/m (12)
Total DFT energy (no corrections) (eV/atom): -4.769
Total magnetic moment (μB/cell): 0.01

=====

No. 2
Computed, not measured: an optimized crystal structure of NaLaSbIr at the PBE-GGA level of DFT.

abc: 5.144 5.144 5.144
angles: 60.00 60.00 60.00
Fractional positions:
La1 0.250 0.250 0.250
Ir1 0.500 0.500 0.500
Sb1 0.000 0.000 0.000
Na1 0.750 0.750 0.750

Properties
SG: F-43m (216)
Total DFT energy (no corrections) (eV/atom): -5.007
Total magnetic moment (μB/cell): 0.01
E above lowest polymorph (eV/f.u.): 1.14

=====

No. 3
Computed, not measured: an optimized crystal structure of ReC8 at the PBE-GGA level of DFT.

abc: 4.932 4.932 5.928
angles: 90.00 90.00 120.00
Fractional positions:
C1 0.833 0.666 0.000
C2 0.333 0.667 0.000
C3 0.833 0.167 0.000
C4 0.334 0.167 0.000
C5 0.167 0.334 0.000
C6 0.666 0.833 0.000
C7 0.167 0.833 0.000
C8 0.667 0.333 0.000
Re1 0.000 0.000 0.500

Properties
SG: P6/mmm (191)
Total DFT energy (no corrections) (eV/atom): -8.706
Total magnetic moment (μB/cell): 5.10

=====

No. 4
Computed, not measured: an optimized crystal structure of TaCo2 at the PBE-GGA level of DFT.

abc: 4.745 4.745 4.745
angles: 60.00 60.00 60.00
Fractional positions:
Ta1 0.750 0.750 0.750
Ta2 0.500 0.500 0.500
Co1 0.125 0.125 0.125
Co2 0.125 0.625 0.125
Co3 0.625 0.125 0.125
Co4 0.125 0.125 0.625

Properties
SG: Fd-3m (227)
Total DFT energy (no corrections) (eV/atom): -8.905
Total magnetic moment (μB/cell): 1.37
Formation enthalpy at 0 K (kJ/mol of atoms): -21

=====

No. 5
Computed, not measured: an optimized crystal structure of Er at the PBE-GGA level of DFT.

abc: 3.568 3.568 5.525
angles: 90.00 90.00 120.00
Fractional positions:
Er1 0.667 0.333 0.750
Er2 0.333 0.667 0.250

Properties
SG: P6_3/mmc (194)
Total DFT energy (no corrections) (eV/atom): -4.563
Total magnetic moment (μB/cell): 0.01
Formation enthalpy at 0 K (kJ/mol of atoms): 0
E above lowest polymorph (eV/f.u.): 0.00

=====

No. 6
Computed, not measured: an optimized crystal structure of NdGeO3 at the PBE-GGA level of DFT.

abc: 6.685 6.685 7.113
angles: 101.43 101.43 110.56
Fractional positions:
O1 0.270 0.407 0.867
O2 0.730 0.593 0.133
O3 0.593 0.730 0.633
O4 0.201 0.018 0.615
O5 0.018 0.201 0.115
O6 0.407 0.270 0.367
O7 0.586 0.127 0.884
O8 0.127 0.586 0.384
O9 0.982 0.799 0.885
O10 0.873 0.414 0.616
O11 0.799 0.982 0.385
O12 0.414 0.873 0.116
Ge1 0.272 0.434 0.271
Ge2 0.434 0.272 0.771
Ge3 0.566 0.728 0.229
Ge4 0.728 0.566 0.729
Nd1 0.899 0.101 0.750
Nd2 0.269 0.731 0.750
Nd3 0.101 0.899 0.250
Nd4 0.731 0.269 0.250

Properties
SG: C2/c (15)
Total DFT energy (no corrections) (eV/atom): -7.301
Total magnetic moment (μB/cell): 0.00